Entry from Alexandria: Ga2FeF8 after structural relaxation (PBE+U).

Values from the calculation:
energy above the lowest structure with this stoichiometry = 5.5 kJ/mol of atoms
total moment = 8.0 μB per cell

Cell: 12.051 5.203 4.868 Å, 90.00 113.30 90.00°
Space group C2/m (No. 12)
One atom of each set of equivalent atoms:
Ga1 0.236 0.000 0.189 [4 per cell]
Fe1 0.000 0.000 0.500 [2 per cell]
F1 0.091 0.000 0.248 [4 per cell]
F2 0.145 0.240 0.841 [8 per cell]
F3 0.182 0.500 0.409 [4 per cell]